Here is a relaxed Y2O3 crystal from Alexandria via LeMat-Bulk. Energies are from PBE-GGA.

Lattice parameters (Å, degrees): 5.821 6.004 16.814 90.00 90.00 90.00
Fractional positions:
O (0.293, 0.480, 0.375)
Y (0.495, 0.741, 0.818)
Y (0.005, 0.241, 0.818)
Y (0.005, 0.259, 0.318)
Y (0.498, 0.707, 0.071)
Y (0.002, 0.293, 0.571)
O (0.293, 0.020, 0.875)
O (0.858, 0.158, 0.947)
Y (0.995, 0.759, 0.182)
O (0.358, 0.342, 0.053)
O (0.642, 0.658, 0.947)
Y (0.995, 0.741, 0.682)
Y (0.505, 0.241, 0.682)
Y (0.502, 0.207, 0.429)
O (0.645, 0.124, 0.299)
O (0.145, 0.376, 0.701)
O (0.355, 0.624, 0.201)
Y (0.998, 0.707, 0.429)
O (0.858, 0.342, 0.447)
O (0.642, 0.842, 0.447)
O (0.707, 0.980, 0.125)
O (0.142, 0.842, 0.053)
O (0.793, 0.020, 0.625)
Y (0.498, 0.793, 0.571)
O (0.207, 0.520, 0.875)
O (0.707, 0.520, 0.625)
Y (0.505, 0.259, 0.182)
O (0.855, 0.876, 0.799)
O (0.355, 0.876, 0.701)
O (0.145, 0.124, 0.201)
Y (0.495, 0.759, 0.318)
O (0.855, 0.624, 0.299)
O (0.358, 0.158, 0.553)
Y (0.002, 0.207, 0.071)
Y (0.502, 0.293, 0.929)
Y (0.998, 0.793, 0.929)
O (0.207, 0.980, 0.375)
O (0.645, 0.376, 0.799)
O (0.793, 0.480, 0.125)
O (0.142, 0.658, 0.553)

Output
The value obtained for the uncorrected formation energy is -3.490 eV per atom. The calculation puts the density at 5.104 g/cm³. The density of states at the Fermi level is 0.000 states/eV/cell.